Entry 1:
First-principles (GGA-PBE) data for HoNpO5 after structural relaxation, as listed in the Alexandria database.

Summary:
total DFT energy (no corrections): -124.642 eV/cell
total magnetization: 0.000 μB/atom
calculated density: 7.16 g/cm³

Lattice parameters (Å, degrees): 4.090 6.602 8.277 90.00 90.00 90.00
Space group Immm (No. 71)
Unique sites:
Ho1 0.000 0.000 0.000 [2 per cell]
Np1 0.000 0.000 0.500 [2 per cell]
O1 0.000 0.000 0.266 [4 per cell]
O2 0.000 0.306 0.500 [4 per cell]
O3 0.000 0.500 0.000 [2 per cell]

Entry 2:
First-principles (GGA-PBE) data for HoNp2O6 after structural relaxation, as listed in the Alexandria database.

Summary:
total DFT energy (no corrections): -89.253 eV/cell
total magnetization: 0.556 μB/atom
calculated density: 10.57 g/cm³

Lattice parameters (Å, degrees): 3.8194 3.8194 9.1354 90.00 90.00 120.00
Space group P-3m1 (No. 164)
Unique sites:
Ho1 0.0000 0.0000 0.0000 [1 per cell]
Np1 0.3333 0.6667 0.6695 [2 per cell]
O1 0.0000 0.0000 0.2614 [2 per cell]
O2 0.3333 0.6667 0.4184 [2 per cell]
O3 0.3333 0.6667 0.9059 [2 per cell]

Entry 3:
First-principles (GGA-PBE) data for Ho3NpO7 after structural relaxation, as listed in the Alexandria database.

Summary:
total DFT energy (no corrections): -395.014 eV/cell
total magnetization: 0.182 μB/atom
calculated density: 9.07 g/cm³

Lattice parameters (Å, degrees): 7.534 10.719 7.653 90.00 90.00 90.00
Space group Cmcm (No. 63)
Unique sites:
Ho1 0.000 0.000 0.000 [4 per cell]
Ho2 0.231 0.263 0.250 [8 per cell]
Np1 0.000 0.500 0.000 [4 per cell]
O1 0.000 0.133 0.250 [4 per cell]
O2 0.000 0.134 0.750 [4 per cell]
O3 0.000 0.403 0.250 [4 per cell]
O4 0.212 0.375 0.530 [16 per cell]